Density functional theory data (PBE-GGA) for Mo2HI after structural relaxation.

Calculated values
The value obtained for the energy above the most stable polymorph in this dataset is 0.0 meV/atom. For the total energy, the calculation gives -5.912 eV per atom.

Lattice parameters (Å, degrees): 4.9827 4.9827 6.3577 66.93 66.93 90.00
Fractional positions:
1 I 0.0000 0.0000 0.0000
2 I 0.7500 0.2500 0.5000
3 H 0.5000 0.5000 0.0000
4 H 0.2500 0.7500 0.5000
5 Mo 0.4667 0.1250 0.2500
6 Mo 0.2833 0.6250 0.2500
7 Mo 0.3750 0.5333 0.7500
8 Mo 0.8750 0.7167 0.7500

Density functional theory data (PBE-GGA) for K2TlO after structural relaxation.

Calculated values
The value obtained for the energy above the most stable polymorph in this dataset is 125.6 meV/atom. For the total energy, the calculation gives -2.868 eV per atom. Its formation energy without anion corrections is -0.488 eV/atom.

Lattice parameters (Å, degrees): 9.8064 9.8064 7.4582 48.90 48.90 90.00
Fractional positions:
1 Tl 0.0000 0.0000 0.0000
2 Tl 0.7500 0.2500 0.5000
3 K 0.4641 0.1250 0.2500
4 K 0.2859 0.6250 0.2500
5 K 0.3750 0.5359 0.7500
6 K 0.8750 0.7141 0.7500
7 O 0.5000 0.5000 0.0000
8 O 0.2500 0.7500 0.5000

What is the formula in the second record? K2TlO

Number 1 is which compound? Mo2HI